No. 1
Computed, not measured: crystalline HfTaAsSe2 at its relaxed geometry at the GGA-PBEsol level of DFT.

Its magnetization is 2.240 μB/f.u. The uncorrected formation energy comes out at 59.10 kJ/mol of atoms.

```
data_HfTaAsSe2
_chemical_formula_sum 'Hf1 Ta1 As1 Se2'
_space_group_name_H-M_alt 'P 4/m m m'
_space_group_IT_number 123
_space_group_name_Hall '-P 4 2'
_cell_length_a 4.957
_cell_length_b 4.957
_cell_length_c 5.061
_cell_angle_alpha 90.00
_cell_angle_beta 90.00
_cell_angle_gamma 90.00
loop_
_atom_site_label
_atom_site_fract_x
_atom_site_fract_y
_atom_site_fract_z
Hf1 0.000 0.000 0.000
Ta1 0.500 0.500 0.500
As1 0.000 0.000 0.500
Se1 0.000 0.500 0.000
```

No. 2
Computed, not measured: crystalline Hf2SiAs3 at its relaxed geometry at the GGA-PBEsol level of DFT.

Its magnetization is 0.000 μB/f.u. The uncorrected formation energy comes out at -77.68 kJ/mol of atoms.

```
data_Hf2SiAs3
_chemical_formula_sum 'Hf2 Si1 As3'
_space_group_name_H-M_alt 'P -4 m 2'
_space_group_IT_number 115
_cell_length_a 3.617
_cell_length_b 3.617
_cell_length_c 8.091
_cell_angle_alpha 90.00
_cell_angle_beta 90.00
_cell_angle_gamma 90.00
loop_
_space_group_symop_operation_xyz
'x,y,z'
'y,-x,-z'
'-x,-y,z'
'-y,x,-z'
'-x,y,z'
'-y,-x,-z'
'x,-y,z'
'y,x,-z'
loop_
_atom_site_label
_atom_site_fract_x
_atom_site_fract_y
_atom_site_fract_z
Hf1 0.000 0.500 0.236
Si1 0.000 0.000 0.500
As1 0.000 0.500 0.887
As2 0.500 0.500 0.500
```

- The highest magnetization belongs to which entry?
  HfTaAsSe2